[1]
A relaxed YAgSb crystal, computed with PBE.

Unit cell a=4.796 b=4.796 c=4.796 alpha=60.00 beta=60.00 gamma=60.00
Positions (direct):
Sb (0.000, 0.000, 0.000)
Y (0.500, 0.500, 0.500)
Ag (0.750, 0.750, 0.750)

Results
Mass density   6.78 g/cm³
Formation energy from raw total energies   -45.46 kJ/mol of atoms
Total magnetization   0.00 Bohr magnetons per cell
SG   F-43m



[2]
A relaxed YAg2Sb2 crystal, computed with PBE.

Unit cell a=4.594 b=4.594 c=6.835 alpha=70.36 beta=70.36 gamma=90.00
Positions (direct):
Ag (0.608, 0.608, 0.785)
Sb (0.250, 0.750, 0.500)
Ag (0.392, 0.392, 0.215)
Y (0.000, 0.000, 0.000)
Sb (0.750, 0.250, 0.500)

Results
Mass density   7.17 g/cm³
Polymorph energy (0 for the lowest one)   0.3605 eV per atom
Formation energy from raw total energies   -11.27 kJ/mol of atoms
Total magnetization   0.00 Bohr magnetons per cell
SG   I4/mmm



[3]
A relaxed Y2AgSb4 crystal, computed with PBE.

Unit cell a=4.406 b=4.406 c=9.712 alpha=90.00 beta=90.00 gamma=90.00
Positions (direct):
Sb (0.500, 0.500, 0.500)
Sb (0.000, 0.000, 0.500)
Y (0.500, 0.000, 0.751)
Sb (0.000, 0.500, 0.832)
Y (0.000, 0.500, 0.249)
Ag (0.500, 0.500, 0.000)
Sb (0.500, 0.000, 0.168)

Results
Mass density   6.81 g/cm³
Formation energy from raw total energies   -60.46 kJ/mol of atoms
Total magnetization   0.00 Bohr magnetons per cell
SG   P-4m2



[4]
A relaxed YAg2Sb2 crystal, computed with PBE.

Unit cell a=8.312 b=8.312 c=3.511 alpha=90.00 beta=90.00 gamma=90.00
Positions (direct):
Sb (0.836, 0.664, 0.000)
Y (0.500, 0.500, 0.000)
Sb (0.336, 0.836, 0.000)
Ag (0.634, 0.866, 0.500)
Ag (0.134, 0.634, 0.500)
Ag (0.866, 0.366, 0.500)
Ag (0.366, 0.134, 0.500)
Y (0.000, 0.000, 0.000)
Sb (0.164, 0.336, 0.000)
Sb (0.664, 0.164, 0.000)

Results
Mass density   7.50 g/cm³
Polymorph energy (0 for the lowest one)   0.2967 eV per atom
Formation energy from raw total energies   -17.43 kJ/mol of atoms
Total magnetization   0.00 Bohr magnetons per cell
SG   P4/mbm



[5]
A relaxed Y2AgSb crystal, computed with PBE.

Unit cell a=5.391 b=5.391 c=5.391 alpha=125.11 beta=125.07 gamma=81.39
Positions (direct):
Y (0.500, 0.500, 0.000)
Sb (0.250, 0.750, 0.500)
Ag (0.750, 0.250, 0.500)
Y (0.000, 0.000, 0.000)

Results
Mass density   6.70 g/cm³
Formation energy from raw total energies   -55.24 kJ/mol of atoms
Total magnetization   0.00 Bohr magnetons per cell
SG   I4/mmm



[6]
A relaxed YAgSb3 crystal, computed with PBE.

Unit cell a=5.344 b=5.344 c=5.344 alpha=90.00 beta=90.00 gamma=90.00
Positions (direct):
Y (0.500, 0.500, 0.500)
Sb (0.500, 0.000, 0.000)
Sb (0.000, 0.500, 0.000)
Ag (0.000, 0.000, 0.000)
Sb (0.000, 0.000, 0.500)

Results
Mass density   6.12 g/cm³
Polymorph energy (0 for the lowest one)   0.0000 eV per atom
Formation energy from raw total energies   22.56 kJ/mol of atoms
Total magnetization   0.00 Bohr magnetons per cell
SG   Pm-3m



[7]
A relaxed Y5Ag2Sb crystal, computed with PBE.

Unit cell a=8.103 b=8.103 c=8.744 alpha=117.60 beta=117.60 gamma=90.00
Positions (direct):
Sb (0.750, 0.750, 0.500)
Ag (0.134, 0.366, 0.000)
Y (0.008, 0.508, 0.704)
Y (0.492, 0.303, 0.296)
Y (0.697, 0.197, 0.704)
Y (0.000, 0.000, 0.000)
Ag (0.866, 0.634, 0.000)
Ag (0.366, 0.866, 0.000)
Y (0.803, 0.992, 0.296)
Y (0.303, 0.803, 0.296)
Y (0.500, 0.500, 0.000)
Y (0.197, 0.008, 0.704)
Ag (0.634, 0.134, 0.000)
Y (0.992, 0.492, 0.296)
Y (0.508, 0.697, 0.704)
Sb (0.250, 0.250, 0.500)

Results
Mass density   5.99 g/cm³
Formation energy from raw total energies   -44.59 kJ/mol of atoms
Total magnetization   0.00 Bohr magnetons per cell
SG   I4/mcm



[8]
A relaxed YZr2AgSb crystal, computed with PBE.

Unit cell a=5.289 b=5.175 c=5.289 alpha=90.00 beta=90.00 gamma=90.00
Positions (direct):
Ag (0.000, 0.500, 0.000)
Sb (0.500, 0.500, 0.500)
Zr (0.000, 0.000, 0.500)
Y (0.000, 0.000, 0.000)
Zr (0.500, 0.000, 0.000)

Results
Mass density   5.75 g/cm³
Formation energy from raw total energies   118.15 kJ/mol of atoms
Total magnetization   0.00 Bohr magnetons per cell
SG   P4/mmm



[9]
A relaxed Zn2Ag2Sb crystal, computed with PBE.

Unit cell a=3.768 b=3.768 c=7.378 alpha=75.21 beta=75.21 gamma=90.00
Positions (direct):
Ag (0.393, 0.393, 0.214)
Zn (0.750, 0.250, 0.500)
Zn (0.250, 0.750, 0.500)
Ag (0.607, 0.607, 0.786)
Sb (0.000, 0.000, 0.000)

Results
Mass density   7.96 g/cm³
Polymorph energy (0 for the lowest one)   0.0074 eV per atom
Formation energy from raw total energies   8.81 kJ/mol of atoms
Total magnetization   0.00 Bohr magnetons per cell
SG   I4/mmm



[10]
A relaxed ZnAgSb2 crystal, computed with PBE.

Unit cell a=5.077 b=5.077 c=5.077 alpha=60.00 beta=60.00 gamma=60.00
Positions (direct):
Ag (0.500, 0.500, 0.500)
Sb (0.000, 0.000, 0.000)
Sb (0.250, 0.250, 0.250)
Zn (0.750, 0.750, 0.750)

Results
Mass density   7.48 g/cm³
Formation energy from raw total energies   25.93 kJ/mol of atoms
Total magnetization   0.00 Bohr magnetons per cell
SG   F-43m



[11]
A relaxed ZnAgSb2 crystal, computed with PBE.

Unit cell a=5.027 b=5.027 c=9.057 alpha=73.89 beta=73.89 gamma=90.00
Positions (direct):
Zn (0.250, 0.750, 0.500)
Sb (0.131, 0.625, 0.250)
Zn (0.500, 0.500, 0.000)
Sb (0.875, 0.869, 0.750)
Ag (0.750, 0.250, 0.500)
Sb (0.375, 0.381, 0.750)
Sb (0.619, 0.125, 0.250)
Ag (0.000, 0.000, 0.000)

Results
Mass density   6.57 g/cm³
Formation energy from raw total energies   15.01 kJ/mol of atoms
Total magnetization   0.00 Bohr magnetons per cell
SG   I-42d



[12]
A relaxed ZnAgSb3 crystal, computed with PBE.

Unit cell a=5.226 b=5.226 c=5.226 alpha=90.00 beta=90.00 gamma=90.00
Positions (direct):
Ag (0.500, 0.500, 0.500)
Sb (0.500, 0.000, 0.000)
Sb (0.000, 0.500, 0.000)
Zn (0.000, 0.000, 0.000)
Sb (0.000, 0.000, 0.500)

Results
Mass density   6.27 g/cm³
Polymorph energy (0 for the lowest one)   0.0000 eV per atom
Formation energy from raw total energies   62.71 kJ/mol of atoms
Total magnetization   0.00 Bohr magnetons per cell
SG   Pm-3m



[13]
A relaxed ZnAgSb2 crystal, computed with PBE.

Unit cell a=4.457 b=4.457 c=6.270 alpha=69.18 beta=69.18 gamma=60.00
Positions (direct):
Sb (0.077, 0.077, 0.769)
Ag (0.505, 0.505, 0.485)
Sb (0.248, 0.248, 0.255)
Zn (0.670, 0.670, 0.991)

Results
Mass density   7.04 g/cm³
Formation energy from raw total energies   10.81 kJ/mol of atoms
Total magnetization   0.00 Bohr magnetons per cell
SG   R3m



[14]
A relaxed Zn2AgSb2 crystal, computed with PBE.

Unit cell a=7.296 b=7.296 c=3.982 alpha=90.00 beta=90.00 gamma=90.00
Positions (direct):
Sb (0.687, 0.813, 0.500)
Sb (0.313, 0.187, 0.500)
Ag (0.500, 0.500, 0.000)
Zn (0.123, 0.377, 0.000)
Zn (0.623, 0.123, 0.000)
Ag (0.000, 0.000, 0.000)
Zn (0.877, 0.623, 0.000)
Zn (0.377, 0.877, 0.000)
Sb (0.813, 0.313, 0.500)
Sb (0.187, 0.687, 0.500)

Results
Mass density   7.55 g/cm³
Polymorph energy (0 for the lowest one)   0.0000 eV per atom
Formation energy from raw total energies   15.75 kJ/mol of atoms
Total magnetization   0.00 Bohr magnetons per cell
SG   P4/mbm



[15]
A relaxed ZnAgSb2 crystal, computed with PBE.

Unit cell a=4.405 b=4.405 c=6.600 alpha=76.67 beta=76.67 gamma=48.46
Positions (direct):
Sb (0.502, 0.502, 0.508)
Sb (0.998, 0.998, 0.992)
Ag (0.250, 0.250, 0.250)
Zn (0.750, 0.750, 0.750)

Results
Mass density   7.46 g/cm³
Formation energy from raw total energies   13.12 kJ/mol of atoms
Total magnetization   0.00 Bohr magnetons per cell
SG   C2/m



[16]
A relaxed ZnAgSb2 crystal, computed with PBE.

Unit cell a=5.374 b=5.374 c=5.374 alpha=135.01 beta=121.22 gamma=76.96
Positions (direct):
Zn (0.750, 0.250, 0.500)
Ag (0.250, 0.750, 0.500)
Sb (0.986, 0.986, 0.000)
Sb (0.514, 0.514, 0.000)

Results
Mass density   7.58 g/cm³
Formation energy from raw total energies   18.25 kJ/mol of atoms
Total magnetization   0.00 Bohr magnetons per cell
SG   Immm



[17]
A relaxed ZnAgSb2 crystal, computed with PBE.

Unit cell a=9.926 b=9.926 c=9.926 alpha=19.05 beta=19.05 gamma=19.05
Positions (direct):
Ag (0.758, 0.758, 0.758)
Sb (0.008, 0.008, 0.008)
Sb (0.240, 0.240, 0.240)
Zn (0.494, 0.494, 0.494)

Results
Mass density   7.60 g/cm³
Formation energy from raw total energies   20.85 kJ/mol of atoms
Total magnetization   0.00 Bohr magnetons per cell
SG   R3m



[18]
A relaxed Zn2Ag2Sb crystal, computed with PBE.

Unit cell a=3.954 b=3.954 c=6.905 alpha=73.36 beta=73.36 gamma=90.00
Positions (direct):
Zn (0.598, 0.598, 0.803)
Ag (0.750, 0.250, 0.500)
Sb (0.000, 0.000, 0.000)
Zn (0.402, 0.402, 0.197)
Ag (0.250, 0.750, 0.500)

Results
Mass density   7.88 g/cm³
Polymorph energy (0 for the lowest one)   0.0358 eV per atom
Formation energy from raw total energies   11.54 kJ/mol of atoms
Total magnetization   0.00 Bohr magnetons per cell
SG   I4/mmm



[19]
A relaxed Zn2AgSb2 crystal, computed with PBE.

Unit cell a=7.912 b=7.912 c=3.674 alpha=90.00 beta=90.00 gamma=90.00
Positions (direct):
Sb (0.307, 0.807, 0.000)
Ag (0.000, 0.000, 0.000)
Zn (0.885, 0.385, 0.500)
Zn (0.615, 0.885, 0.500)
Sb (0.193, 0.307, 0.000)
Ag (0.500, 0.500, 0.000)
Sb (0.807, 0.693, 0.000)
Zn (0.385, 0.115, 0.500)
Sb (0.693, 0.193, 0.000)
Zn (0.115, 0.615, 0.500)

Results
Mass density   6.96 g/cm³
Polymorph energy (0 for the lowest one)   0.0293 eV per atom
Formation energy from raw total energies   18.58 kJ/mol of atoms
Total magnetization   0.00 Bohr magnetons per cell
SG   P4/mbm



[20]
A relaxed ZnAgSb2 crystal, computed with PBE.

Unit cell a=3.148 b=4.045 c=7.319 alpha=90.00 beta=90.00 gamma=90.00
Positions (direct):
Zn (0.000, 0.000, 0.527)
Sb (0.500, 0.500, 0.320)
Ag (0.500, 0.500, 0.722)
Sb (0.000, 0.000, 0.931)

Results
Mass density   7.43 g/cm³
Formation energy from raw total energies   12.73 kJ/mol of atoms
Total magnetization   0.00 Bohr magnetons per cell
SG   Pmm2



[21]
A relaxed Zn2Ag8Sb crystal, computed with PBE.

Unit cell a=4.945 b=7.367 c=7.367 alpha=59.14 beta=76.84 gamma=76.84
Positions (direct):
Ag (0.223, 0.381, 0.761)
Zn (0.467, 0.142, 0.142)
Ag (0.083, 0.770, 0.770)
Ag (0.917, 0.230, 0.230)
Ag (0.331, 0.358, 0.358)
Sb (0.000, 0.000, 0.000)
Ag (0.223, 0.761, 0.381)
Ag (0.669, 0.642, 0.642)
Zn (0.533, 0.858, 0.858)
Ag (0.777, 0.239, 0.619)
Ag (0.777, 0.619, 0.239)

Results
Mass density   8.33 g/cm³
Formation energy from raw total energies   13.92 kJ/mol of atoms
Total magnetization   0.00 Bohr magnetons per cell
SG   C2/m



[22]
A relaxed ZnAgSb2 crystal, computed with PBE.

Unit cell a=6.632 b=6.632 c=6.632 alpha=144.29 beta=146.15 gamma=50.02
Positions (direct):
Sb (0.022, 0.022, 0.000)
Zn (0.457, 0.457, 0.000)
Sb (0.718, 0.218, 0.500)
Ag (0.303, 0.803, 0.500)

Results
Mass density   7.33 g/cm³
Formation energy from raw total energies   15.35 kJ/mol of atoms
Total magnetization   0.00 Bohr magnetons per cell
SG   Imm2



[23]
A relaxed ZnAgSb2 crystal, computed with PBE.

Unit cell a=3.299 b=3.299 c=8.556 alpha=90.00 beta=90.00 gamma=102.56
Positions (direct):
Sb (0.000, 0.000, 0.495)
Zn (0.500, 0.500, 0.250)
Sb (0.000, 0.000, 0.005)
Ag (0.500, 0.500, 0.750)

Results
Mass density   7.62 g/cm³
Formation energy from raw total energies   17.79 kJ/mol of atoms
Total magnetization   0.00 Bohr magnetons per cell
SG   Cmmm



[24]
A relaxed ZnAgSb2 crystal, computed with PBE.

Unit cell a=4.683 b=4.683 c=6.927 alpha=86.21 beta=86.21 gamma=38.88
Positions (direct):
Ag (0.227, 0.227, 0.272)
Sb (0.795, 0.795, 0.688)
Sb (0.959, 0.959, 0.058)
Zn (0.520, 0.520, 0.482)

Results
Mass density   7.28 g/cm³
Formation energy from raw total energies   10.33 kJ/mol of atoms
Total magnetization   0.00 Bohr magnetons per cell
SG   Cm



[25]
A relaxed Zn3Ag3Sb crystal, computed with PBE.

Unit cell a=7.090 b=7.090 c=7.090 alpha=90.00 beta=90.00 gamma=90.00
Positions (direct):
Sb (0.500, 0.500, 0.500)
Sb (0.000, 0.000, 0.000)
Zn (0.000, 0.750, 0.500)
Ag (0.750, 0.000, 0.500)
Zn (0.250, 0.500, 0.000)
Zn (0.500, 0.000, 0.250)
Zn (0.750, 0.500, 0.000)
Ag (0.500, 0.750, 0.000)
Ag (0.000, 0.500, 0.250)
Ag (0.500, 0.250, 0.000)
Ag (0.250, 0.000, 0.500)
Zn (0.000, 0.250, 0.500)
Ag (0.000, 0.500, 0.750)
Zn (0.500, 0.000, 0.750)

Results
Mass density   5.98 g/cm³
Formation energy from raw total energies   58.11 kJ/mol of atoms
Total magnetization   0.00 Bohr magnetons per cell
SG   Pm-3n



[26]
A relaxed ZnAgSb2 crystal, computed with PBE.

Unit cell a=6.864 b=5.375 c=3.299 alpha=82.56 beta=73.87 gamma=123.59
Positions (direct):
Sb (0.500, 0.000, 0.500)
Zn (0.000, 0.500, 0.500)
Sb (0.000, 0.000, 0.000)
Ag (0.500, 0.500, 0.000)

Results
Mass density   7.60 g/cm³
Formation energy from raw total energies   18.09 kJ/mol of atoms
Total magnetization   0.00 Bohr magnetons per cell
SG   C2/m



[27]
A relaxed ZnAgSb2 crystal, computed with PBE.

Unit cell a=3.136 b=3.136 c=9.234 alpha=90.00 beta=90.00 gamma=96.27
Positions (direct):
Ag (0.500, 0.500, 0.716)
Zn (0.000, 0.000, 0.526)
Sb (0.500, 0.500, 0.293)
Sb (0.000, 0.000, 0.965)

Results
Mass density   7.67 g/cm³
Formation energy from raw total energies   15.03 kJ/mol of atoms
Total magnetization   0.00 Bohr magnetons per cell
SG   Cmm2